! YCoPd2 PBE optimized geometry; values from VASP
! * energy relative to the lowest polymorph listed for this composition: 0.000 eV/atom
! * crystal system: cubic
! * calculated volume: 16.85 A^3/atom
! * size of the total moment: 1.27 μB/cell
! * energy of formation: -107 kJ/mol of formula units
&SYSTEM
  ibrav = 0, nat = 4, ntyp = 3
/
ATOMIC_SPECIES
Y 88.91 Y.upf
Co 58.93 Co.upf
Pd 106.42 Pd.upf
ATOMIC_POSITIONS crystal
Y 0.000 0.000 0.000
Co 0.750 0.750 0.750
Pd 0.250 0.250 0.250
Pd 0.500 0.500 0.500
CELL_PARAMETERS angstrom
0.000 3.230 3.230
3.230 0.000 3.230
3.230 3.230 0.000

! YCoPd PBE optimized geometry; values from VASP
! * crystal system: cubic
! * calculated volume: 20.87 A^3/atom
! * size of the total moment: 0.49 μB/cell
! * energy of formation: 101 kJ/mol of formula units
&SYSTEM
  ibrav = 0, nat = 3, ntyp = 3
/
ATOMIC_SPECIES
Y 88.91 Y.upf
Co 58.93 Co.upf
Pd 106.42 Pd.upf
ATOMIC_POSITIONS crystal
Y 0.000 0.000 0.000
Co 0.750 0.750 0.750
Pd 0.250 0.250 0.250
CELL_PARAMETERS angstrom
0.000 3.152 3.152
3.152 0.000 3.152
3.152 3.152 0.000

! YZnCoPd PBE optimized geometry; values from VASP
! * energy relative to the lowest polymorph listed for this composition: 0.000 eV/atom
! * crystal system: cubic
! * calculated volume: 16.48 A^3/atom
! * size of the total moment: 0.01 μB/cell
! * energy of formation: -126 kJ/mol of formula units
&SYSTEM
  ibrav = 0, nat = 4, ntyp = 4
/
ATOMIC_SPECIES
Y 88.91 Y.upf
Zn 65.41 Zn.upf
Co 58.93 Co.upf
Pd 106.42 Pd.upf
ATOMIC_POSITIONS crystal
Y 0.000 0.000 0.000
Zn 0.500 0.500 0.500
Co 0.750 0.750 0.750
Pd 0.250 0.250 0.250
CELL_PARAMETERS angstrom
0.000 3.206 3.206
3.206 0.000 3.206
3.206 3.206 0.000

! YZnCoPd PBE optimized geometry; values from VASP
! * energy relative to the lowest polymorph listed for this composition: 0.168 eV/atom
! * crystal system: cubic
! * calculated volume: 17.36 A^3/atom
! * size of the total moment: 1.22 μB/cell
! * energy of formation: -61 kJ/mol of formula units
&SYSTEM
  ibrav = 0, nat = 4, ntyp = 4
/
ATOMIC_SPECIES
Y 88.91 Y.upf
Zn 65.41 Zn.upf
Co 58.93 Co.upf
Pd 106.42 Pd.upf
ATOMIC_POSITIONS crystal
Y 0.000 0.000 0.000
Zn 0.250 0.250 0.250
Co 0.500 0.500 0.500
Pd 0.750 0.750 0.750
CELL_PARAMETERS angstrom
0.000 3.263 3.263
3.263 0.000 3.263
3.263 3.263 0.000

! ZnCoPd2 PBE optimized geometry; values from VASP
! * crystal system: cubic
! * calculated volume: 14.05 A^3/atom
! * size of the total moment: 0.00 μB/cell
! * energy of formation: 11 kJ/mol of formula units
&SYSTEM
  ibrav = 0, nat = 4, ntyp = 3
/
ATOMIC_SPECIES
Zn 65.41 Zn.upf
Co 58.93 Co.upf
Pd 106.42 Pd.upf
ATOMIC_POSITIONS crystal
Zn 0.000 0.000 0.000
Co 0.250 0.250 0.250
Pd 0.500 0.500 0.500
Pd 0.750 0.750 0.750
CELL_PARAMETERS angstrom
0.000 3.040 3.040
3.040 0.000 3.040
3.040 3.040 0.000

! ZnCoPd2 PBE optimized geometry; values from VASP
! * crystal system: orthorhombic
! * calculated volume: 14.90 A^3/atom
! * size of the total moment: 4.55 μB/cell
! * energy of formation: 18 kJ/mol of formula units
&SYSTEM
  ibrav = 0, nat = 8, ntyp = 3
/
ATOMIC_SPECIES
Zn 65.41 Zn.upf
Co 58.93 Co.upf
Pd 106.42 Pd.upf
ATOMIC_POSITIONS crystal
Zn 0.171 0.829 0.750
Zn 0.829 0.171 0.250
Co 0.500 0.500 0.000
Co 0.500 0.500 0.500
Pd 0.164 0.836 0.614
Pd 0.164 0.836 0.886
Pd 0.836 0.164 0.114
Pd 0.836 0.164 0.386
CELL_PARAMETERS angstrom
1.362 -2.354 0.000
1.362 2.354 0.000
0.000 0.000 18.597

! ZrCoPd PBE optimized geometry; values from VASP
! * crystal system: cubic
! * calculated volume: 17.95 A^3/atom
! * size of the total moment: 0.10 μB/cell
! * energy of formation: -24 kJ/mol of formula units
&SYSTEM
  ibrav = 0, nat = 3, ntyp = 3
/
ATOMIC_SPECIES
Zr 91.22 Zr.upf
Co 58.93 Co.upf
Pd 106.42 Pd.upf
ATOMIC_POSITIONS crystal
Zr 0.000 0.000 0.000
Co 0.750 0.750 0.750
Pd 0.500 0.500 0.500
CELL_PARAMETERS angstrom
0.000 2.997 2.997
2.997 0.000 2.997
2.997 2.997 0.000

! Zr2CoPd PBE optimized geometry; values from VASP
! * energy relative to the lowest polymorph listed for this composition: 0.000 eV/atom
! * crystal system: monoclinic
! * calculated volume: 17.76 A^3/atom
! * size of the total moment: 0.00 μB/cell
! * energy of formation: -181 kJ/mol of formula units
&SYSTEM
  ibrav = 0, nat = 8, ntyp = 3
/
ATOMIC_SPECIES
Zr 91.22 Zr.upf
Co 58.93 Co.upf
Pd 106.42 Pd.upf
ATOMIC_POSITIONS crystal
Zr 0.000 0.000 0.000
Zr 0.119 0.597 0.414
Zr 0.503 0.503 0.985
Zr 0.597 0.119 0.414
Co 0.478 0.981 0.904
Co 0.981 0.478 0.904
Pd 0.124 0.124 0.550
Pd 0.658 0.658 0.544
CELL_PARAMETERS angstrom
3.360 -4.173 0.000
3.360 4.173 0.000
-1.667 0.000 5.066

! ZrCoPd PBE optimized geometry; values from VASP
! * crystal system: cubic
! * calculated volume: 18.59 A^3/atom
! * size of the total moment: 0.00 μB/cell
! * energy of formation: 49 kJ/mol of formula units
&SYSTEM
  ibrav = 0, nat = 3, ntyp = 3
/
ATOMIC_SPECIES
Zr 91.22 Zr.upf
Co 58.93 Co.upf
Pd 106.42 Pd.upf
ATOMIC_POSITIONS crystal
Zr 0.000 0.000 0.000
Co 0.750 0.750 0.750
Pd 0.250 0.250 0.250
CELL_PARAMETERS angstrom
0.000 3.032 3.032
3.032 0.000 3.032
3.032 3.032 0.000

! Zr2CoPd PBE optimized geometry; values from VASP
! * energy relative to the lowest polymorph listed for this composition: 0.285 eV/atom
! * crystal system: cubic
! * calculated volume: 16.67 A^3/atom
! * size of the total moment: 0.14 μB/cell
! * energy of formation: -71 kJ/mol of formula units
&SYSTEM
  ibrav = 0, nat = 4, ntyp = 3
/
ATOMIC_SPECIES
Zr 91.22 Zr.upf
Co 58.93 Co.upf
Pd 106.42 Pd.upf
ATOMIC_POSITIONS crystal
Zr 0.000 0.000 0.000
Zr 0.250 0.250 0.250
Co 0.750 0.750 0.750
Pd 0.500 0.500 0.500
CELL_PARAMETERS angstrom
0.000 3.219 3.219
3.219 0.000 3.219
3.219 3.219 0.000

! Pm5Co2 PBE optimized geometry; values from VASP
! * crystal system: monoclinic
! * calculated volume: 26.63 A^3/atom
! * size of the total moment: 0.00 μB/cell
! * energy of formation: -65 kJ/mol of formula units
&SYSTEM
  ibrav = 0, nat = 14, ntyp = 2
/
ATOMIC_SPECIES
Pm 145.00 Pm.upf
Co 58.93 Co.upf
ATOMIC_POSITIONS crystal
Pm 0.068 0.932 0.750
Pm 0.145 0.283 0.318
Pm 0.283 0.145 0.818
Pm 0.301 0.509 0.086
Pm 0.491 0.699 0.414
Pm 0.509 0.301 0.586
Pm 0.699 0.491 0.914
Pm 0.717 0.855 0.182
Pm 0.855 0.717 0.682
Pm 0.932 0.068 0.250
Co 0.097 0.681 0.426
Co 0.319 0.903 0.074
Co 0.681 0.097 0.926
Co 0.903 0.319 0.574
CELL_PARAMETERS angstrom
8.278 -3.221 0.000
8.278 3.221 0.000
-0.780 0.000 6.991

! Pm2Co PBE optimized geometry; values from VASP
! * energy relative to the lowest polymorph listed for this composition: 0.000 eV/atom
! * crystal system: cubic
! * calculated volume: 60.35 A^3/atom
! * size of the total moment: 0.02 μB/cell
! * energy of formation: 286 kJ/mol of formula units
&SYSTEM
  ibrav = 0, nat = 6, ntyp = 2
/
ATOMIC_SPECIES
Pm 145.00 Pm.upf
Co 58.93 Co.upf
ATOMIC_POSITIONS crystal
Pm 0.000 0.000 0.000
Pm 0.000 0.000 0.500
Pm 0.000 0.500 0.000
Pm 0.500 0.000 0.000
Co 0.125 0.125 0.125
Co 0.875 0.875 0.875
CELL_PARAMETERS angstrom
0.000 5.657 5.657
5.657 0.000 5.657
5.657 5.657 0.000

no.,raw total energy (eV per atom)
1,-6.259
2,-5.900
3,-5.329
4,-5.161
5,-4.652
6,-4.634
7,-7.026
8,-7.813
9,-6.773
10,-7.528
11,-5.516
12,-4.543